Below is ReTeBr2 at its PBEsol-relaxed geometry, with properties calculated at the SCAN level.

## Properties
Energy, eV per atom: -35.260
Formation energy without anion corrections, kJ/mol of formula units: 601

Lattice parameters (Å, degrees): 5.305 5.305 3.038 90.00 90.00 109.02
Positions (direct):
Re  0.000  0.000  0.000
Te  0.500  0.500  0.000
Br  0.000  0.500  0.500
Br  0.500  0.000  0.500

Below is SrYCl2 at its PBEsol-relaxed geometry, with properties calculated at the SCAN level.

## Properties
Energy, eV per atom: -17.699
Formation energy without anion corrections, kJ/mol of formula units: -456

Lattice parameters (Å, degrees): 4.959 4.959 4.959 60.00 60.00 60.00
Positions (direct):
Sr  0.000  0.000  0.000
Y  0.500  0.500  0.500
Cl  0.250  0.250  0.250
Cl  0.750  0.750  0.750

Below is ReSbCl2 at its PBEsol-relaxed geometry, with properties calculated at the SCAN level.

## Properties
Energy, eV per atom: -29.849
Formation energy without anion corrections, kJ/mol of formula units: 475

Lattice parameters (Å, degrees): 5.202 5.202 2.889 90.00 90.00 111.56
Positions (direct):
Re  0.000  0.000  0.000
Sb  0.500  0.500  0.000
Cl  0.000  0.500  0.500
Cl  0.500  0.000  0.500

Below is CdH3Pd at its PBEsol-relaxed geometry, with properties calculated at the SCAN level.

## Properties
Energy, eV per atom: -14.527

Lattice parameters (Å, degrees): 3.604 3.604 3.604 90.00 90.00 90.00
Positions (direct):
Cd  0.000  0.000  0.000
H  0.000  0.500  0.500
H  0.500  0.000  0.500
H  0.500  0.500  0.000
Pd  0.500  0.500  0.500

Below is CaAg4Au at its PBEsol-relaxed geometry, with properties calculated at the SCAN level.

## Properties
Energy, eV per atom: -34.284
Calculated formation energy, meV per atom: -236

Lattice parameters (Å, degrees): 5.431 5.431 5.431 60.00 60.00 60.00
Positions (direct):
Ca  0.000  0.000  0.000
Ag  0.375  0.375  0.375
Ag  0.375  0.375  0.874
Ag  0.375  0.874  0.375
Ag  0.874  0.375  0.375
Au  0.750  0.750  0.750

Below is TbSbO4 at its PBEsol-relaxed geometry, with properties calculated at the SCAN level.

## Properties
Energy, eV per atom: -20.796
Formation energy without anion corrections, kJ/mol of formula units: -1527

Lattice parameters (Å, degrees): 7.565 5.345 7.499 90.00 98.50 90.00
Positions (direct):
Tb  0.143  0.226  0.392
Tb  0.143  0.274  0.892
Tb  0.857  0.726  0.108
Tb  0.857  0.774  0.608
Sb  0.337  0.729  0.192
Sb  0.337  0.771  0.692
Sb  0.663  0.229  0.308
Sb  0.663  0.271  0.808
O  0.114  0.517  0.172
O  0.114  0.983  0.672
O  0.171  0.004  0.120
O  0.171  0.496  0.620
O  0.330  0.618  0.937
O  0.330  0.882  0.437
O  0.431  0.096  0.810
O  0.431  0.404  0.310
O  0.569  0.596  0.690
O  0.569  0.904  0.190
O  0.670  0.118  0.563
O  0.670  0.382  0.063
O  0.829  0.504  0.380
O  0.829  0.996  0.880
O  0.886  0.017  0.328
O  0.886  0.483  0.828

Below is SnP3O9 at its PBEsol-relaxed geometry, with properties calculated at the SCAN level.

## Properties
Energy, eV per atom: -11.626
Formation energy without anion corrections, kJ/mol of formula units: -2696

Lattice parameters (Å, degrees): 8.757 8.851 8.968 90.00 90.00 90.00
Positions (direct):
Sn  0.129  0.140  0.349
Sn  0.371  0.860  0.849
Sn  0.629  0.360  0.651
Sn  0.871  0.640  0.151
P  0.033  0.678  0.809
P  0.193  0.514  0.312
P  0.195  0.200  0.941
P  0.305  0.800  0.441
P  0.307  0.486  0.812
P  0.467  0.322  0.309
P  0.533  0.822  0.191
P  0.693  0.986  0.688
P  0.695  0.300  0.059
P  0.805  0.700  0.559
P  0.807  0.014  0.188
P  0.967  0.178  0.691
O  0.040  0.222  0.847
O  0.089  0.116  0.589
O  0.107  0.388  0.385
O  0.122  0.595  0.182
O  0.125  0.810  0.864
O  0.142  0.542  0.756
O  0.149  0.166  0.098
O  0.196  0.901  0.359
O  0.237  0.631  0.441
O  0.263  0.369  0.941
O  0.304  0.099  0.859
O  0.351  0.834  0.598
O  0.358  0.458  0.256
O  0.375  0.190  0.364
O  0.378  0.405  0.682
O  0.393  0.612  0.885
O  0.411  0.884  0.089
O  0.460  0.778  0.347
O  0.540  0.278  0.153
O  0.589  0.384  0.411
O  0.607  0.112  0.615
O  0.622  0.905  0.818
O  0.625  0.690  0.136
O  0.642  0.958  0.244
O  0.649  0.334  0.902
O  0.696  0.599  0.641
O  0.737  0.869  0.559
O  0.763  0.131  0.059
O  0.804  0.401  0.141
O  0.851  0.666  0.402
O  0.858  0.042  0.744
O  0.875  0.310  0.636
O  0.878  0.095  0.318
O  0.893  0.888  0.115
O  0.911  0.616  0.911
O  0.960  0.722  0.653

Below is Sc2BeFeCo at its PBEsol-relaxed geometry, with properties calculated at the SCAN level.

## Properties
Energy, eV per atom: -13.201
Calculated formation energy, meV per atom: 451

Lattice parameters (Å, degrees): 4.632 4.632 3.717 90.00 90.00 90.00
Positions (direct):
Sc  0.000  0.500  0.000
Sc  0.500  0.000  0.000
Be  0.000  0.000  0.000
Fe  0.000  0.000  0.500
Co  0.500  0.500  0.500

Number 1: density 9.7 Mg/m³, total moment 0.63 μB/cell. Number 2: density 4.8 Mg/m³, total moment 0.00 μB/cell. Number 3: density 8.7 Mg/m³, total moment 0.00 μB/cell. Number 4: density 7.9 Mg/m³, total moment 0.00 μB/cell. Number 5: density 9.8 Mg/m³, total moment 0.00 μB/cell. Number 6: density 7.6 Mg/m³, total moment 0.00 μB/cell. Number 7: density 3.4 Mg/m³, total moment 4.00 μB/cell. Number 8: density 4.5 Mg/m³, total moment 2.10 μB/cell.